Computed, not measured: a relaxed Mg2TeRhO6 crystal at the GGA-PBE level of DFT.

abc: 5.2959 5.2959 14.1225
angles: 90.00 90.00 120.00
Space group R3 (No. 146, hexagonal axes)
Symmetry-distinct sites (fractional):
1 Mg 0.0000 0.0000 0.0000 x3
2 Mg 0.0000 0.0000 0.4980 x3
3 Te 0.0000 0.0000 0.2057 x3
4 Rh 0.0000 0.0000 0.7019 x3
5 O 0.0007 0.2977 0.6060 x9
6 O 0.0388 0.6746 0.7738 x9

Values from the calculation:
* spin magnetization: 0.91 Bohr magnetons per cell
* E_form (uncorrected): -1.56 eV per atom